# LiCa3Pm2Te6 | Alexandria | PBE-GGA | optimized geometry
data_LiCa3Pm2Te6
_symmetry_space_group_name_H-M 'C 1 2/m 1'
_symmetry_Int_Tables_number 12
_symmetry_space_group_name_Hall '-C 2y'
_cell_length_a 7.7381
_cell_length_b 13.3933
_cell_length_c 7.7629
_cell_angle_alpha 90.00
_cell_angle_beta 109.51
_cell_angle_gamma 90.00
loop_
_atom_site_label
_atom_site_type_symbol
_atom_site_fract_x
_atom_site_fract_y
_atom_site_fract_z
Li1 Li 0.0000 0.0000 0.0000
Ca1 Ca 0.0000 0.1693 0.5000
Ca2 Ca 0.0000 0.5000 0.5000
Pm1 Pm 0.0000 0.3343 0.0000
Te1 Te 0.2450 0.0000 0.7522
Te2 Te 0.2451 0.1637 0.2451
# - Energy: -108.09 eV for the cell shown
# - E_form (uncorrected): -1481 meV per atom
# - Size of the total moment: 0.00 μB per cell